Entry 1:
The following is a DFT calculation (GGA-PBE) of a relaxed structure of Co3P.

Lattice parameters (Å, degrees): 7.2465 7.2465 7.2465 152.33 152.33 39.53
Element x y z (fractional)
Co (0.0000, 0.5000, 0.5000)
Co (0.5000, 0.0000, 0.5000)
Co (0.7500, 0.2500, 0.5000)
Co (0.2500, 0.7500, 0.5000)
Co (0.8746, 0.8746, 0.0000)
Co (0.1254, 0.1254, 0.0000)
P (0.6245, 0.6245, 0.0000)
P (0.3755, 0.3755, 0.0000)

Its excess energy over the best structure of this formula in the dataset is 180 meV/atom. As for the density of states at the Fermi level: 7.61 states/eV/cell. As for the space group: No. 139. Its total energy is -6.84 eV per atom. As for the energy of formation from the pure elements: -15.7 kJ/mol of atoms.



Entry 2:
The following is a DFT calculation (GGA-PBE) of a relaxed structure of Sr2TlCdRe.

Lattice parameters (Å, degrees): 5.7131 5.3552 5.7131 90.00 90.00 90.00
Element x y z (fractional)
Re (0.0000, 0.0000, 0.0000)
Tl (0.5000, 0.5000, 0.5000)
Sr (0.0000, 0.0000, 0.5000)
Sr (0.5000, 0.0000, 0.0000)
Cd (0.0000, 0.5000, 0.0000)

As for the density of states at the Fermi level: 6.04 states/eV/cell. As for the space group: No. 123. Its total energy is -3.15 eV per atom. As for the energy of formation from the pure elements: 64.7 kJ/mol of atoms.



Entry 3:
The following is a DFT calculation (GGA-PBE) of a relaxed structure of Tb2Nd4SmTh.

Lattice parameters (Å, degrees): 6.0831 6.0737 9.5099 50.39 90.00 90.00
Element x y z (fractional)
Tb (0.0000, 0.0000, 0.0000)
Tb (0.5000, 0.0000, 0.5000)
Nd (0.0000, 0.7453, 0.7538)
Nd (0.0000, 0.2547, 0.2462)
Nd (0.5000, 0.7534, 0.2458)
Nd (0.5000, 0.2466, 0.7542)
Sm (0.0000, 0.5000, 0.5000)
Th (0.5000, 0.5000, 0.0000)

As for the density of states at the Fermi level: 15.61 states/eV/cell. As for the space group: No. 10. Its total energy is -4.93 eV per atom. As for the energy of formation from the pure elements: 12.9 kJ/mol of atoms.



Entry 4:
The following is a DFT calculation (GGA-PBE) of a relaxed structure of DyAlP2O8.

Lattice parameters (Å, degrees): 5.0268 5.0268 6.3741 90.00 90.00 120.00
Element x y z (fractional)
Dy (0.0000, 0.0000, 0.5000)
Al (0.0000, 0.0000, 0.0000)
P (0.3333, 0.6667, 0.7331)
P (0.6667, 0.3333, 0.2669)
O (0.1650, 0.3300, 0.8093)
O (0.1650, 0.8350, 0.8093)
O (0.6700, 0.8350, 0.8093)
O (0.3300, 0.1650, 0.1907)
O (0.6667, 0.3333, 0.5071)
O (0.3333, 0.6667, 0.4929)
O (0.8350, 0.6700, 0.1907)
O (0.8350, 0.1650, 0.1907)

As for the density of states at the Fermi level: 0.00 states/eV/cell. As for the space group: No. 164. For the uncorrected formation energy, the calculation gives -2.730 eV/atom. Its total energy is -7.63 eV per atom.



Entry 5:
The following is a DFT calculation (GGA-PBE) of a relaxed structure of Li6InAg3.

Lattice parameters (Å, degrees): 5.0406 6.6672 6.6672 113.87 104.60 104.60
Element x y z (fractional)
Li (0.1955, 0.0000, 0.6094)
Li (0.1955, 0.6094, 0.0000)
Li (0.0079, 0.0000, 0.2337)
Li (0.0079, 0.2337, 0.0000)
Li (0.7742, 0.7663, 0.7663)
Li (0.5862, 0.3906, 0.3906)
In (0.4514, 0.0000, 0.0000)
Ag (0.6359, 0.4655, 0.0000)
Ag (0.6359, 0.0000, 0.4655)
Ag (0.1704, 0.5345, 0.5345)

As for the density of states at the Fermi level: 3.95 states/eV/cell. As for the space group: No. 160. Its total energy is -2.30 eV per atom. As for the energy of formation from the pure elements: -1.7 kJ/mol of atoms.



Entry 6:
The following is a DFT calculation (GGA-PBE) of a relaxed structure of TbEr5Tm5.

Lattice parameters (Å, degrees): 5.8152 9.7503 6.8294 110.11 90.00 107.35
Element x y z (fractional)
Tb (0.0000, 0.0000, 0.0000)
Er (0.8209, 0.6417, 0.0660)
Er (0.8208, 0.6415, 0.5744)
Er (0.5000, 0.0000, 0.0000)
Er (0.1792, 0.3585, 0.4256)
Er (0.1791, 0.3583, 0.9340)
Tm (0.6691, 0.3381, 0.1713)
Tm (0.6240, 0.2480, 0.6266)
Tm (0.0000, 0.0000, 0.5000)
Tm (0.3760, 0.7520, 0.3734)
Tm (0.3309, 0.6619, 0.8287)

As for the density of states at the Fermi level: 17.44 states/eV/cell. As for the space group: No. 12. Its total energy is -4.23 eV per atom. As for the energy of formation from the pure elements: 28.4 kJ/mol of atoms.



Entry 7:
The following is a DFT calculation (GGA-PBE) of a relaxed structure of Ca2Ge4IrRh3.

Lattice parameters (Å, degrees): 4.2469 4.2469 10.1484 90.00 90.00 90.00
Element x y z (fractional)
Ca (0.5000, 0.0000, 0.2502)
Ca (0.0000, 0.5000, 0.7498)
Ge (0.5000, 0.5000, 0.0000)
Ge (0.0000, 0.0000, 0.0000)
Ge (0.5000, 0.0000, 0.6285)
Ge (0.0000, 0.5000, 0.3715)
Ir (0.5000, 0.5000, 0.5000)
Rh (0.0000, 0.0000, 0.5000)
Rh (0.5000, 0.0000, 0.8718)
Rh (0.0000, 0.5000, 0.1282)

As for the density of states at the Fermi level: 3.00 states/eV/cell. As for the space group: No. 115. Its total energy is -6.06 eV per atom. As for the energy of formation from the pure elements: -69.5 kJ/mol of atoms.



Entry 8:
The following is a DFT calculation (GGA-PBE) of a relaxed structure of Zr3Ge.

Lattice parameters (Å, degrees): 11.1324 11.1324 5.4797 90.00 90.00 90.00
Element x y z (fractional)
Zr (0.9180, 0.6057, 0.5324)
Zr (0.0820, 0.3943, 0.5324)
Zr (0.8943, 0.4180, 0.0324)
Zr (0.1057, 0.5820, 0.0324)
Zr (0.5820, 0.8943, 0.9676)
Zr (0.4180, 0.1057, 0.9676)
Zr (0.6057, 0.0820, 0.4676)
Zr (0.3943, 0.9180, 0.4676)
Zr (0.8602, 0.9740, 0.7215)
Zr (0.1398, 0.0260, 0.7215)
Zr (0.5260, 0.3602, 0.2215)
Zr (0.4740, 0.6398, 0.2215)
Zr (0.6398, 0.5260, 0.7785)
Zr (0.3602, 0.4740, 0.7785)
Zr (0.9740, 0.1398, 0.2785)
Zr (0.0260, 0.8602, 0.2785)
Zr (0.8196, 0.7158, 0.0063)
Zr (0.1804, 0.2842, 0.0063)
Zr (0.7842, 0.3196, 0.5063)
Zr (0.2158, 0.6804, 0.5063)
Zr (0.6804, 0.7842, 0.4937)
Zr (0.3196, 0.2158, 0.4937)
Zr (0.7158, 0.1804, 0.9937)
Zr (0.2842, 0.8196, 0.9937)
Ge (0.7953, 0.9590, 0.2137)
Ge (0.2047, 0.0410, 0.2137)
Ge (0.5410, 0.2953, 0.7137)
Ge (0.4590, 0.7047, 0.7137)
Ge (0.7047, 0.5410, 0.2863)
Ge (0.2953, 0.4590, 0.2863)
Ge (0.9590, 0.2047, 0.7863)
Ge (0.0410, 0.7953, 0.7863)

As for the density of states at the Fermi level: 37.58 states/eV/cell. As for the space group: No. 86. Its total energy is -8.11 eV per atom. As for the energy of formation from the pure elements: -52.9 kJ/mol of atoms.



Entry 9:
The following is a DFT calculation (GGA-PBE) of a relaxed structure of TlCuAu6.

Lattice parameters (Å, degrees): 4.7176 4.8294 6.5354 90.00 90.00 90.00
Element x y z (fractional)
Tl (0.0000, 0.6890, 0.0000)
Cu (0.5000, 0.3250, 0.5000)
Au (0.5000, 0.8223, 0.2740)
Au (0.0000, 0.1858, 0.7307)
Au (0.0000, 0.1858, 0.2693)
Au (0.5000, 0.8223, 0.7260)
Au (0.0000, 0.6724, 0.5000)
Au (0.5000, 0.2974, 0.0000)

As for the density of states at the Fermi level: 2.56 states/eV/cell. As for the space group: No. 25. Its total energy is -3.20 eV per atom. As for the energy of formation from the pure elements: 6.0 kJ/mol of atoms.



Entry 10:
The following is a DFT calculation (GGA-PBE) of a relaxed structure of LiCuOs.

Lattice parameters (Å, degrees): 2.6351 2.6363 13.4832 90.00 90.00 119.98
Element x y z (fractional)
Li (0.6099, 0.2198, 0.0000)
Li (0.2790, 0.5579, 0.5000)
Cu (0.6113, 0.2227, 0.3365)
Cu (0.6113, 0.2227, 0.6635)
Os (0.2775, 0.5551, 0.8280)
Os (0.2775, 0.5551, 0.1720)

Its excess energy over the best structure of this formula in the dataset is 9 meV/atom. As for the density of states at the Fermi level: 3.39 states/eV/cell. As for the space group: No. 38. Its total energy is -5.55 eV per atom. As for the energy of formation from the pure elements: 19.0 kJ/mol of atoms.



Entry 11:
The following is a DFT calculation (GGA-PBE) of a relaxed structure of Er8SnSb2.

Lattice parameters (Å, degrees): 4.8451 7.0517 9.8117 99.57 104.29 90.00
Element x y z (fractional)
Er (0.4055, 0.5108, 0.8110)
Er (0.6616, 0.0243, 0.3231)
Er (0.7839, 0.6514, 0.5678)
Er (0.9829, 0.2469, 0.9658)
Er (0.2161, 0.3486, 0.4322)
Er (0.3384, 0.9757, 0.6769)
Er (0.5945, 0.4892, 0.1890)
Er (0.0171, 0.7531, 0.0342)
Sn (0.5000, 0.0000, 0.0000)
Sb (0.8195, 0.2307, 0.6389)
Sb (0.1805, 0.7693, 0.3611)

As for the density of states at the Fermi level: 11.88 states/eV/cell. As for the space group: No. 12. For the uncorrected formation energy, the calculation gives -0.439 eV/atom. Its total energy is -4.87 eV per atom.



Entry 12:
The following is a DFT calculation (GGA-PBE) of a relaxed structure of TbAl2Bi.

Lattice parameters (Å, degrees): 4.4183 4.6183 4.6183 90.00 90.00 90.00
Element x y z (fractional)
Tb (0.5000, 0.5000, 0.5000)
Bi (0.5000, 0.0000, 0.0000)
Al (0.0000, 0.0000, 0.5000)
Al (0.0000, 0.5000, 0.0000)

As for the density of states at the Fermi level: 1.37 states/eV/cell. As for the space group: No. 123. Its total energy is -4.26 eV per atom. As for the energy of formation from the pure elements: -25.6 kJ/mol of atoms.